[1]
This record from the Alexandria database describes Ce2PaMnN4 after structural relaxation. The functional is GGA-PBE.

- Symmetry: No. 63
- Total magnetization: 0.69 μB per formula unit
- Total energy: -9.18 eV/atom
- Raw formation energy: -1.2025 eV/atom
- V: 223.8 Å³/cell
- D(E_F): 0.62 states/eV per atom

Unit cell a=5.9500 b=5.9500 c=11.8083 alpha=90.00 beta=90.00 gamma=147.63
Closest atoms and distances in Å follow each position.
Atoms (fractional coordinates):
Ce 0.1347 0.8653 0.5564  6 N 2.36-2.57
Ce 0.1347 0.8653 0.9436  6 N 2.36-2.57
Ce 0.8653 0.1347 0.0564  6 N 2.36-2.57
Ce 0.8653 0.1347 0.4436  6 N 2.36-2.57
Pa 0.3937 0.6063 0.7500  6 N 2.42-2.46
Pa 0.6063 0.3937 0.2500  6 N 2.42-2.46
Mn 0.3461 0.6539 0.2500  4 N 1.98-2.05
Mn 0.6539 0.3461 0.7500  4 N 1.98-2.05
N 0.0483 0.9517 0.7500  2 Mn 2.05
N 0.2165 0.7835 0.1388  1 Mn 1.98
N 0.2165 0.7835 0.3612  1 Mn 1.98
N 0.5000 0.5000 0.0000  4 Ce 2.36
N 0.5000 0.5000 0.5000  4 Ce 2.36
N 0.7835 0.2165 0.6388  1 Mn 1.98
N 0.7835 0.2165 0.8612  1 Mn 1.98
N 0.9517 0.0483 0.2500  2 Mn 2.05

***

[2]
This record from the Alexandria database describes BaLaTe3Au after structural relaxation. The functional is GGA-PBE.

- Symmetry: No. 11
- Total magnetization: 0.00 μB per formula unit
- Total energy: -4.55 eV/atom
- Raw formation energy: -1.2939 eV/atom
- V: 434.2 Å³/cell

Unit cell a=9.4713 b=4.6041 c=10.2499 alpha=90.00 beta=103.71 gamma=90.00
Closest atoms and distances in Å follow each position.
Atoms (fractional coordinates):
Ba 0.1908 0.2500 0.2496  7 Te 3.52-3.80, 1 Au 3.84
Ba 0.8092 0.7500 0.7504  7 Te 3.52-3.80, 1 Au 3.84
La 0.3210 0.7500 0.8338  6 Te 3.16-3.29
La 0.6790 0.2500 0.1662  6 Te 3.16-3.29
Te 0.0932 0.2500 0.8682  1 Au 2.82
Te 0.2337 0.7500 0.5163  3 Au 2.85-3.07, 1 La 3.16
Te 0.4369 0.7500 0.1625  3 La 3.24-3.29, 2 Ba 3.54
Te 0.5631 0.2500 0.8375  3 La 3.24-3.29, 2 Ba 3.54
Te 0.7663 0.2500 0.4837  3 Au 2.85-3.07, 1 La 3.16
Te 0.9068 0.7500 0.1318  1 Au 2.82
Au 0.0971 0.2500 0.5940  4 Te 2.82-3.07
Au 0.9029 0.7500 0.4060  4 Te 2.82-3.07